1.
PrNd2ErSe4: optimized geometry, PBE.

Unit cell a=7.270 b=4.129 c=7.339 alpha=90.00 beta=108.68 gamma=90.00
Space group P2/m (No. 10)
Inequivalent atoms, fractional coordinates:
Pr1 0.000 0.000 0.000 x1
Nd1 0.500 0.000 0.500 x1
Nd2 0.500 0.500 0.000 x1
Er1 0.000 0.500 0.500 x1
Se1 0.238 0.000 0.736 x2
Se2 0.245 0.500 0.259 x2

Calculated density = 7.3 g/cm3
Energy relative to the elements, uncorrected = -1.797 eV per atom
Crystal system = monoclinic



2.
PmY3Er4Se8: optimized geometry, PBE.

Unit cell a=8.1352 b=8.1352 c=20.0708 alpha=90.00 beta=90.00 gamma=120.00
Space group R-3m (No. 166, hexagonal axes)
Inequivalent atoms, fractional coordinates:
Pm1 0.0000 0.0000 0.0000 x3
Y1 0.0000 0.5000 0.0000 x9
Er1 0.0000 0.0000 0.5000 x3
Er2 0.0000 0.5000 0.5000 x9
Se1 0.0000 0.0000 0.2482 x6
Se2 0.0044 0.5022 0.2471 x18

Calculated density = 7.4 g/cm3
Energy relative to the elements, uncorrected = -1.734 eV per atom
Crystal system = trigonal